This record from the Open Quantum Materials Database describes a relaxed ZnSi2W crystal. The functional is PBE.

Calculated values
total energy	-5.61	eV per atom

abc: 4.353 4.353 4.353
angles: 60.00 60.00 60.00
Element x y z (fractional)
Zn 0.250 0.250 0.250
W 0.500 0.500 0.500
Si 0.000 0.000 0.000
Si 0.750 0.750 0.750